No. 1
Density functional theory data (PBE) for a relaxed structure of La4Pr3Se8.

- raw total energy (eV per atom) = -5.842
- calculated volume (Å³/cell) = 482.0
- energy relative to the lowest polymorph listed for this composition (kJ/mol of atoms) = 22.61

a b c (Å): 9.252 9.252 9.252
angles (deg): 54.03 54.03 54.03
Fractional coordinates of all 15 atoms:
La: 0.000 0.000 0.000
La: 0.147 0.147 0.147
La: 0.500 0.500 0.500
La: 0.853 0.853 0.853
Pr: 0.000 0.500 0.500
Pr: 0.500 0.000 0.500
Pr: 0.500 0.500 0.000
Se: 0.251 0.251 0.742
Se: 0.251 0.742 0.251
Se: 0.258 0.749 0.749
Se: 0.266 0.266 0.266
Se: 0.734 0.734 0.734
Se: 0.742 0.251 0.251
Se: 0.749 0.258 0.749
Se: 0.749 0.749 0.258

No. 2
Density functional theory data (PBE) for a relaxed structure of Na2LaGe4.

- raw total energy (eV per atom) = -4.114
- ΔH_f (0 K) (meV per atom) = -394
- calculated volume (Å³/cell) = 326.7

a b c (Å): 9.417 9.417 6.054
angles (deg): 96.08 96.08 37.75
Fractional coordinates of all 14 atoms:
Na: 0.120 0.280 0.179
Na: 0.280 0.120 0.679
Na: 0.720 0.880 0.321
Na: 0.880 0.720 0.821
La: 0.263 0.737 0.750
La: 0.737 0.263 0.250
Ge: 0.150 0.705 0.220
Ge: 0.295 0.850 0.280
Ge: 0.322 0.383 0.484
Ge: 0.383 0.322 0.984
Ge: 0.617 0.678 0.016
Ge: 0.678 0.617 0.516
Ge: 0.705 0.150 0.720
Ge: 0.850 0.295 0.780

No. 3
Density functional theory data (PBE) for a relaxed structure of Tm4AgHgAu2.

- raw total energy (eV per atom) = -4.095
- ΔH_f (0 K) (meV per atom) = -646
- calculated volume (Å³/cell) = 185.1

a b c (Å): 8.793 8.793 8.793
angles (deg): 33.56 33.56 33.56
Fractional coordinates of all 8 atoms:
Tm: 0.124 0.124 0.124
Tm: 0.374 0.374 0.374
Tm: 0.626 0.626 0.626
Tm: 0.876 0.876 0.876
Ag: 0.000 0.000 0.000
Hg: 0.500 0.500 0.500
Au: 0.251 0.251 0.251
Au: 0.749 0.749 0.749

- The lowest calculated volume belongs to which entry?
  Tm4AgHgAu2